A PBEsol-optimized structure of ScOs2Br. Source: Alexandria via LeMat-Bulk, functional SCAN.

Structure (CIF):
```
data_ScOs2Br
_space_group_name_H-M_alt 'P 1'
_space_group_IT_number 1
_space_group_name_Hall 'P 1'
_cell_length_a 2.9599
_cell_length_b 2.9599
_cell_length_c 8.7632
_cell_angle_alpha 80.28
_cell_angle_beta 80.28
_cell_angle_gamma 60.00
loop_
_atom_site_label
_atom_site_type_symbol
_atom_site_fract_x
_atom_site_fract_y
_atom_site_fract_z
Br1 Br 0.0000 0.0000 0.0000
Os1 Os 0.2506 0.2506 0.2482
Os2 Os 0.7494 0.7494 0.7518
Sc1 Sc 0.5000 0.5000 0.5000
```

Formation energy without anion corrections = 0.704 eV/atom
Magnetic moment = 0.000 μB/f.u.

***

A PBEsol-optimized structure of InRe2HPt. Source: Alexandria via LeMat-Bulk, functional SCAN.

Structure (CIF):
```
data_InRe2HPt
_space_group_name_H-M_alt 'P 1'
_space_group_IT_number 1
_space_group_name_Hall 'P 1'
_cell_length_a 3.8891
_cell_length_b 3.8891
_cell_length_c 4.3349
_cell_angle_alpha 90.00
_cell_angle_beta 90.00
_cell_angle_gamma 90.00
loop_
_atom_site_label
_atom_site_type_symbol
_atom_site_fract_x
_atom_site_fract_y
_atom_site_fract_z
Re1 Re 0.0000 0.5000 0.0000
Re2 Re 0.5000 0.0000 0.0000
H1 H 0.0000 0.0000 0.0000
Pt1 Pt 0.0000 0.0000 0.5000
In1 In 0.5000 0.5000 0.5000
```

Magnetic moment = 0.011 μB/f.u.
Final energy = -247.112 eV per cell